Record 1
# YCr4Co

Crystalline YCr4Co at its relaxed geometry (PBE, the Alexandria database).

**DFT formation energy**: 438.0 meV per atom

a b c (Å): 6.9950 6.9950 6.9950
angles (deg): 90.00 90.00 90.00
Closest atoms and distances in Å follow each position.
Space group F-43m (No. 216)
One atom of each set of equivalent atoms:
Y1 0.0000 0.0000 0.0000 x4  12 Cr 2.90, 4 Co 3.03
Cr1 0.1250 0.1250 0.6250 x16  6 Cr 2.47
Co1 0.2500 0.2500 0.2500 x4  12 Cr 2.90, 4 Y 3.03

Record 2
# Y3CrCo

Crystalline Y3CrCo at its relaxed geometry (PBE, the Alexandria database).

**DFT formation energy**: 271.5 meV per atom
**Distance to the lowest polymorph of the same formula**: 0 meV per atom

a b c (Å): 5.1783 5.1783 5.1783
angles (deg): 90.00 90.00 90.00
Closest atoms and distances in Å follow each position.
Space group Pm-3m (No. 221)
One atom of each set of equivalent atoms:
Y1 0.0000 0.0000 0.5000 x3  2 Co 2.59
Cr1 0.5000 0.5000 0.5000 x1  12 Y 3.66
Co1 0.0000 0.0000 0.0000 x1  6 Y 2.59

Record 3
# YCr2Co2

Crystalline YCr2Co2 at its relaxed geometry (PBE, the Alexandria database).

**DFT formation energy**: 92.3 meV per atom
**Distance to the lowest polymorph of the same formula**: 0 meV per atom

a b c (Å): 3.9311 3.9311 9.7136
angles (deg): 90.00 90.00 90.00
Closest atoms and distances in Å follow each position.
Space group I4/mmm (No. 139)
One atom of each set of equivalent atoms:
Y1 0.0000 0.0000 0.0000 x2  8 Co 3.02, 8 Cr 3.12
Cr1 0.0000 0.5000 0.2500 x4  4 Co 2.32
Co1 0.0000 0.0000 0.3772 x4  4 Cr 2.32, 1 Co 2.39

no.,M_tot (μB per formula unit),uncorrected energy (eV/atom)
1,1.52,-8.239
2,4.78,-6.953
3,2.15,-7.892